1.
Li2EuGeS4 (PBE, relaxed); symmetry = I-42m (121); E_form (uncorrected) = -1.224 eV/atom
1.0
-3.2848 3.2848 3.8678
3.2848 -3.2848 3.8678
3.2848 3.2848 -3.8678
Li Eu Ge S
2 1 1 4
Direct
0.2500 0.7500 0.5000
0.7500 0.2500 0.5000
0.0000 0.0000 0.0000
0.5000 0.5000 0.0000
0.1369 0.5328 0.0000
0.4672 0.4672 0.6041
0.5328 0.1369 0.0000
0.8631 0.8631 0.3959

***

2.
SrLiEuGe (PBE, relaxed); symmetry = F-43m (216); ΔE_f = -0.338 eV/atom
1.0
0.0000 3.8427 3.8427
3.8427 0.0000 3.8427
3.8427 3.8427 0.0000
Sr Li Eu Ge
1 1 1 1
Direct
0.0000 0.0000 0.0000
0.7500 0.7500 0.7500
0.5000 0.5000 0.5000
0.2500 0.2500 0.2500

***

3.
LiEuTlGe (PBE, relaxed); symmetry = F-43m (216); ΔE_f = -0.367 eV/atom
1.0
0.0000 3.6420 3.6420
3.6420 0.0000 3.6420
3.6420 3.6420 0.0000
Li Eu Tl Ge
1 1 1 1
Direct
0.0000 0.0000 0.0000
0.5000 0.5000 0.5000
0.2500 0.2500 0.2500
0.7500 0.7500 0.7500

***

4.
LiEuTmGe (PBE, relaxed); symmetry = F-43m (216); ΔE_f = -0.354 eV/atom
1.0
0.0000 3.6203 3.6203
3.6203 0.0000 3.6203
3.6203 3.6203 0.0000
Li Eu Tm Ge
1 1 1 1
Direct
0.0000 0.0000 0.0000
0.2500 0.2500 0.2500
0.7500 0.7500 0.7500
0.5000 0.5000 0.5000

***

5.
LiEuYGe (PBE, relaxed); symmetry = F-43m (216); ΔE_f = -0.388 eV/atom
1.0
0.0000 3.6523 3.6523
3.6523 0.0000 3.6523
3.6523 3.6523 0.0000
Li Eu Y Ge
1 1 1 1
Direct
0.0000 0.0000 0.0000
0.7500 0.7500 0.7500
0.2500 0.2500 0.2500
0.5000 0.5000 0.5000

***

6.
LiEuZnGe (PBE, relaxed); symmetry = F-43m (216); ΔE_f = -0.344 eV/atom
1.0
0.0000 3.4725 3.4725
3.4725 0.0000 3.4725
3.4725 3.4725 0.0000
Li Eu Zn Ge
1 1 1 1
Direct
0.0000 0.0000 0.0000
0.5000 0.5000 0.5000
0.7500 0.7500 0.7500
0.2500 0.2500 0.2500